1.
The following is a DFT calculation (PBE) of a relaxed structure of Sr2Al5Ag12.

abc: 7.2918 7.2918 7.2918
angles: 82.12 82.12 82.12
Closest atoms and distances in Å follow each position.
Sites, in units of the cell vectors:
Ag 0.6614 0.6614 0.1312  3 Al 2.69-2.90, 6 Ag 2.91-2.96
Ag 0.2969 0.0000 0.7031  2 Al 2.79, 6 Ag 2.84-2.96
Ag 0.0000 0.2969 0.7031  2 Al 2.79, 6 Ag 2.84-2.96
Ag 0.7031 0.2969 0.0000  2 Al 2.79, 6 Ag 2.84-2.96
Ag 0.1312 0.6614 0.6614  3 Al 2.69-2.90, 6 Ag 2.91-2.96
Ag 0.3386 0.8688 0.3386  3 Al 2.69-2.90, 6 Ag 2.91-2.96
Ag 0.2969 0.7031 0.0000  2 Al 2.79, 6 Ag 2.84-2.96
Ag 0.7031 0.0000 0.2969  2 Al 2.79, 6 Ag 2.84-2.96
Ag 0.6614 0.1312 0.6614  3 Al 2.69-2.90, 6 Ag 2.91-2.96
Ag 0.3386 0.3386 0.8688  3 Al 2.69-2.90, 6 Ag 2.91-2.96
Ag 0.0000 0.7031 0.2969  2 Al 2.79, 6 Ag 2.84-2.96
Ag 0.8688 0.3386 0.3386  3 Al 2.69-2.90, 6 Ag 2.91-2.96
Al 0.5000 0.0000 0.0000  8 Ag 2.69-2.79, 2 Al 2.96
Al 0.0000 0.0000 0.5000  8 Ag 2.69-2.79, 2 Al 2.96
Al 0.0921 0.0921 0.0921  1 Al 2.63, 3 Ag 2.90
Al 0.0000 0.5000 0.0000  8 Ag 2.69-2.79, 2 Al 2.96
Al 0.9079 0.9079 0.9079  1 Al 2.63, 3 Ag 2.90
Sr 0.6530 0.6530 0.6530  15 Ag 3.39-3.79, 4 Al 3.63-3.78
Sr 0.3470 0.3470 0.3470  15 Ag 3.39-3.79, 4 Al 3.63-3.78

Calculated values
Energy of formation ... -326.1 kJ/mol of formula units
Energy ... -3.1406 eV/atom

2.
The following is a DFT calculation (PBE) of a relaxed structure of SrAl6Ag.

abc: 4.4870 4.4870 8.3729
angles: 90.00 90.00 90.00
Closest atoms and distances in Å follow each position.
Sites, in units of the cell vectors:
Al 0.0000 0.5000 0.3296  2 Ag 2.66, 3 Al 2.68-2.85
Al 0.5000 0.0000 0.3296  2 Ag 2.66, 3 Al 2.68-2.85
Al 0.5000 0.5000 0.8463  5 Al 2.57-2.68
Al 0.0000 0.5000 0.6704  2 Ag 2.66, 3 Al 2.68-2.85
Al 0.5000 0.0000 0.6704  2 Ag 2.66, 3 Al 2.68-2.85
Al 0.5000 0.5000 0.1537  5 Al 2.57-2.68
Ag 0.0000 0.0000 0.5000  8 Al 2.66
Sr 0.0000 0.0000 0.0000  16 Al 3.42-3.56

Calculated values
Energy of formation ... -114.0 kJ/mol of formula units
Energy ... -3.5212 eV/atom

> What is the formula in the first record?

Sr2Al5Ag12